First-principles (PBE) data for Cs3TlTe2O8 after structural relaxation, as listed in Alexandria.

abc: 6.744 6.744 8.614
angles: 90.00 90.00 120.00
Atoms (fractional coordinates):
1 Cs 0.333 0.667 0.671
2 Cs 0.667 0.333 0.329
3 Cs 0.000 0.000 0.000
4 Tl 0.000 0.000 0.500
5 Te 0.333 0.667 0.216
6 Te 0.667 0.333 0.784
7 O 0.333 0.667 0.003
8 O 0.667 0.333 0.997
9 O 0.185 0.815 0.294
10 O 0.815 0.185 0.706
11 O 0.185 0.370 0.294
12 O 0.815 0.630 0.706
13 O 0.630 0.815 0.294
14 O 0.370 0.185 0.706

* formation energy (no corrections): -1.27 eV/atom
* uncorrected energy: -68.71 eV/f.u.

---

First-principles (PBE) data for GdErSb after structural relaxation, as listed in Alexandria.

abc: 4.000 5.054 5.054
angles: 120.00 90.00 90.00
Site moments in Bohr magnetons follow the coordinates.
Atoms (fractional coordinates):
1 Sb 0.288 0.333 0.667  -0.03
2 Gd 0.620 0.667 0.333  7.05
3 Er 0.092 0.000 0.000  0.06

* formation energy (no corrections): -0.44 eV/atom
* uncorrected energy: -24.10 eV/f.u.

---

First-principles (PBE) data for MnTlTe2 after structural relaxation, as listed in Alexandria.

abc: 7.587 7.587 6.936
angles: 56.85 56.85 90.00
Atoms (fractional coordinates):
1 Tl 0.000 0.000 0.000
2 Tl 0.750 0.250 0.500
3 Te 0.524 0.125 0.250
4 Te 0.226 0.625 0.250
5 Te 0.375 0.476 0.750
6 Te 0.875 0.774 0.750
7 Mn 0.500 0.500 0.000
8 Mn 0.250 0.750 0.500

* formation energy (no corrections): 0.13 eV/atom
* uncorrected energy: -17.30 eV/f.u.

---

First-principles (PBE) data for ScP2Br after structural relaxation, as listed in Alexandria.

abc: 4.770 4.770 4.770
angles: 60.00 60.00 60.00
Atoms (fractional coordinates):
1 Sc 0.000 0.000 0.000
2 P 0.250 0.250 0.250
3 P 0.750 0.750 0.750
4 Br 0.500 0.500 0.500

* E above lowest polymorph: 444 kJ/mol of formula units
* formation energy (no corrections): 0.31 eV/atom
* uncorrected energy: -17.58 eV/f.u.